# Tb2Tm2Te5 GGA-PBE relaxed
data_Tb2Tm2Te5
_cell_length_a 6.041
_cell_length_b 18.486
_cell_length_c 6.100
_cell_angle_alpha 90.00
_cell_angle_beta 90.00
_cell_angle_gamma 90.00
_symmetry_space_group_name_H-M 'C m m m'
_symmetry_Int_Tables_number 65
_symmetry_space_group_name_Hall '-C 2 2'
loop_
_atom_site_label
_atom_site_type_symbol
_atom_site_fract_x
_atom_site_fract_y
_atom_site_fract_z
Tb1 Tb 0.000 0.157 0.000
Tm1 Tm 0.000 0.315 0.500
Te1 Te 0.000 0.000 0.000
Te2 Te 0.000 0.153 0.500
Te3 Te 0.000 0.332 0.000
# Total DFT energy (no corrections): -4.922 eV per atom
# Formation energy without anion corrections: -1.15 eV per atom